! PBE-GGA Sr2LaMn, optimized geometry; values from VASP
&SYSTEM
  ibrav = 0, nat = 4, ntyp = 3
/
ATOMIC_SPECIES
Sr 87.62 Sr.upf
La 138.91 La.upf
Mn 54.94 Mn.upf
CELL_PARAMETERS angstrom
4.115 -2.172 0.000
4.115 2.172 0.000
-2.525 0.000 8.643
ATOMIC_POSITIONS crystal
Sr 0.000 0.000 0.000
Sr 0.180 0.180 0.587
La 0.407 0.407 0.295
Mn 0.750 0.750 0.295
! Calculated total energy ... -15.776 eV/f.u.
! Crystal system ... monoclinic
! ΔH_f (0 K) ... 0.42 eV per atom
! Total magnetic moment ... 0.361 μB/atom
! Space-group type ... Cm, No. 8